## LaSbSO2 (PBE)

Data for an optimized crystal structure of LaSbSO2.

## Properties
DOS(E_F): 0.0 states/eV/f.u.
raw formation energy: -2.030 eV/atom

```
data_LaSbSO2
_chemical_formula_sum 'La2 Sb2 S2 O4'
_space_group_name_H-M_alt 'P 1 21/m 1'
_space_group_IT_number 11
_space_group_name_Hall '-P 2yb'
_cell_length_a 6.620
_cell_length_b 4.124
_cell_length_c 7.705
_cell_angle_alpha 90.00
_cell_angle_beta 104.91
_cell_angle_gamma 90.00
loop_
_atom_site_label
_atom_site_fract_x
_atom_site_fract_y
_atom_site_fract_z
_atom_site_occupancy
La1 0.211 0.250 0.430 1
Sb1 0.171 0.250 0.913 1
S1 0.422 0.750 0.692 1
O1 0.015 0.750 0.345 1
O2 0.029 0.750 0.909 1
```

***

## LaSbS2O (PBE)

Data for an optimized crystal structure of LaSbS2O.

## Properties
raw formation energy: -1.713 eV/atom

```
data_LaSbS2O
_chemical_formula_sum 'La2 Sb2 S4 O2'
_space_group_name_H-M_alt 'P 4/n m m'
_space_group_IT_number 129
_cell_length_a 4.000
_cell_length_b 4.000
_cell_length_c 14.027
_cell_angle_alpha 90.00
_cell_angle_beta 90.00
_cell_angle_gamma 90.00
loop_
_space_group_symop_operation_xyz
'x,y,z'
'-x,-y,-z'
'-y+1/2,x,z'
'y+1/2,-x,-z'
'-x+1/2,-y+1/2,z'
'x+1/2,y+1/2,-z'
'y,-x+1/2,z'
'-y,x+1/2,-z'
'x+1/2,-y,-z'
'-x+1/2,y,z'
'-y,-x,-z'
'y,x,z'
'-x,y+1/2,-z'
'x,-y+1/2,z'
'y+1/2,x+1/2,-z'
'-y+1/2,-x+1/2,z'
loop_
_atom_site_label
_atom_site_fract_x
_atom_site_fract_y
_atom_site_fract_z
_atom_site_occupancy
La1 0.250 0.250 0.091 1
Sb1 0.250 0.250 0.633 1
S1 0.250 0.250 0.386 1
S2 0.250 0.250 0.805 1
O1 0.250 0.750 0.000 1
```

***

Question: The lowest raw formation energy belongs to which entry?
Answer: LaSbSO2

***

Question: Among the records above, which one has the lowest raw formation energy?
Answer: LaSbSO2